Entry 1:
{
  "formula": "MgCrIr3",
  "functional": "PBE-GGA",
  "state": "relaxed",
  "dos_at_fermi_per_ev_cell": 3.9,
  "ef_ev_per_atom": 0.85,
  "polymorph_energy_ev_per_atom": 0.0000,
  "total_energy_ev_per_atom": -6.71,
  "m_tot_mub_per_fu": 0.00,
  "lattice": [[4.5071, 0.0000, 0.0000], [0.0000, 4.5071, 0.0000], [0.0000, 0.0000, 4.5071]],
  "species": ["Ir", "Ir", "Ir", "Mg", "Cr"],
  "fractional_positions": [[0.5000, 0.0000, 0.0000], [0.0000, 0.0000, 0.5000], [0.0000, 0.5000, 0.0000], [0.5000, 0.5000, 0.5000], [0.0000, 0.0000, 0.0000]]
}

Entry 2:
{
  "formula": "PuCdOs",
  "functional": "PBE-GGA",
  "state": "relaxed",
  "dos_at_fermi_per_ev_cell": 18.0,
  "ef_ev_per_atom": 0.18,
  "total_energy_ev_per_atom": -8.64,
  "m_tot_mub_per_fu": 4.85,
  "lattice": [[-1.2961, -0.3516, -3.8768], [4.3568, -1.7297, 0.8713], [-3.6208, -6.5801, 1.8072]],
  "species": ["Cd", "Cd", "Os", "Os", "Pu", "Pu"],
  "fractional_positions": [[0.3427, 0.6853, 0.4355], [0.6573, 0.3147, 0.5645], [0.3345, 0.6689, 0.0219], [0.6655, 0.3311, 0.9781], [0.9798, 0.9597, 0.7935], [0.0202, 0.0403, 0.2065]]
}